[1]
Entry from Alexandria: a relaxed KBa2Tl crystal (PBE).

## Properties
Calculated total energy   -2.04 eV per atom
Calculated formation energy   -0.87 eV/f.u.

Cell: 4.3328 4.3328 11.4387 Å, 90.00 90.00 90.00°
Closest atoms and distances in Å follow each position.
Fractional positions:
K  0.0000  0.0000  0.0000  4 K 4.33, 8 Ba 4.82
Ba  0.5000  0.5000  0.3250  4 Tl 3.66, 1 Ba 4.00
Ba  0.5000  0.5000  0.6750  4 Tl 3.66, 1 Ba 4.00
Tl  0.0000  0.0000  0.5000  8 Ba 3.66



[2]
Entry from Alexandria: a relaxed KBaTl3 crystal (PBE).

## Properties
Calculated total energy   -1.71 eV per atom
Calculated formation energy   1.59 eV/f.u.

Cell: 6.5363 6.5363 6.5363 Å, 90.00 90.00 90.00°
Closest atoms and distances in Å follow each position.
Fractional positions:
K  0.0000  0.0000  0.0000  12 Tl 4.62
Ba  0.5000  0.5000  0.5000  6 Tl 3.27
Tl  0.0000  0.5000  0.5000  2 Ba 3.27
Tl  0.5000  0.0000  0.5000  2 Ba 3.27
Tl  0.5000  0.5000  0.0000  2 Ba 3.27



[3]
Entry from Alexandria: a relaxed KBa3Tl2 crystal (PBE).

## Properties
Calculated total energy   -2.21 eV per atom
Calculated formation energy   -1.68 eV/f.u.

Cell: 4.3451 4.3451 15.4545 Å, 90.00 90.00 90.00°
Closest atoms and distances in Å follow each position.
Fractional positions:
K  0.0000  0.0000  0.0000  4 K 4.35, 8 Ba 4.76
Ba  0.5000  0.5000  0.2355  4 Tl 3.65
Ba  0.5000  0.5000  0.5000  8 Tl 3.74, 2 Ba 4.09
Ba  0.5000  0.5000  0.7645  4 Tl 3.65
Tl  0.0000  0.0000  0.3625  8 Ba 3.65-3.74
Tl  0.0000  0.0000  0.6375  8 Ba 3.65-3.74



[4]
Entry from Alexandria: a relaxed KBaTl4 crystal (PBE).

## Properties
Calculated total energy   -2.27 eV per atom
Calculated formation energy   -1.13 eV/f.u.

Cell: 6.6659 6.6659 6.6659 Å, 60.00 60.00 60.00°
Closest atoms and distances in Å follow each position.
Fractional positions:
K  0.0000  0.0000  0.0000  12 Tl 3.91, 4 Ba 4.08
Ba  0.7500  0.7500  0.7500  12 Tl 3.91, 4 K 4.08
Tl  0.3750  0.3750  0.3750  6 Tl 3.33
Tl  0.3750  0.3750  0.8751  6 Tl 3.33
Tl  0.3750  0.8751  0.3750  6 Tl 3.33
Tl  0.8751  0.3750  0.3750  6 Tl 3.33



[5]
Entry from Alexandria: a relaxed KBa2Tl crystal (PBE).

## Properties
Calculated total energy   -1.90 eV per atom
Calculated formation energy   -0.29 eV/f.u.

Cell: 4.3555 4.3555 11.2946 Å, 90.00 90.00 90.00°
Closest atoms and distances in Å follow each position.
Fractional positions:
K  0.0000  0.0000  0.0000  4 Tl 3.86, 1 Ba 4.20
Ba  0.0000  0.0000  0.3716  4 Tl 3.61
Ba  0.5000  0.5000  0.6732  8 Ba 4.36-4.59, 4 K 4.81
Tl  0.5000  0.5000  0.2054  4 Ba 3.61, 4 K 3.86



[6]
Entry from Alexandria: a relaxed K2BaTl crystal (PBE).

## Properties
Calculated total energy   -1.53 eV per atom
Calculated formation energy   0.38 eV/f.u.

Cell: 13.4044 13.4044 13.4044 Å, 18.87 18.87 18.87°
Closest atoms and distances in Å follow each position.
Fractional positions:
K  0.2349  0.2349  0.2349  3 Tl 3.70
K  0.7651  0.7651  0.7651  3 Tl 3.70
Ba  0.0000  0.0000  0.0000  6 Ba 4.39, 6 K 4.64
Tl  0.5000  0.5000  0.5000  6 K 3.70